Entry from the Alexandria database: crystalline InHOs2Au at its relaxed geometry (GGA-PBE).

The density is 13.7 g/cm³. The total magnetization comes out at 2.88 μB per formula unit. The calculation puts the calculated volume at 84 Å³/f.u. Its uncorrected energy is -4.916 eV per atom.

It has space group P4/mmm (No. 123), with a = 5.189 Å, b = 5.189 Å, c = 3.111 Å, α = 90.00°, β = 90.00° and γ = 90.00°. The distinct sites, in fractional coordinates, are In at (0.000, 0.000, 0.000), H at (0.500, 0.500, 0.000), Os at (0.000, 0.500, 0.500) and Au at (0.500, 0.500, 0.500).